[1]
{
  "formula": "GaTc2Ge2",
  "functional": "PBE",
  "state": "optimized geometry",
  "lattice": [[7.144, 0.000, 0.000], [0.000, 7.144, 0.000], [0.000, 0.000, 3.049]],
  "species": ["Ga", "Ga", "Tc", "Tc", "Tc", "Tc", "Ge", "Ge", "Ge", "Ge"],
  "frac_coords": [[0.000, 0.000, 0.000], [0.500, 0.500, 0.000], [0.157, 0.343, 0.500], [0.343, 0.843, 0.500], [0.657, 0.157, 0.500], [0.843, 0.657, 0.500], [0.139, 0.639, 0.000], [0.361, 0.139, 0.000], [0.639, 0.861, 0.000], [0.861, 0.361, 0.000]],
  "de_polymorph_ev_per_atom": 0.2332,
  "ef_mev_per_atom": 133
}

---

[2]
{
  "formula": "La2BeIrC",
  "functional": "PBE",
  "state": "optimized geometry",
  "lattice": [[5.333, 0.000, 0.000], [0.000, 5.333, 0.000], [0.000, 0.000, 3.410]],
  "species": ["La", "La", "Be", "Ir", "C"],
  "frac_coords": [[0.000, 0.500, 0.000], [0.500, 0.000, 0.000], [0.000, 0.000, 0.500], [0.500, 0.500, 0.500], [0.000, 0.000, 0.000]],
  "ef_mev_per_atom": -268
}

---

[3]
{
  "formula": "Cs2CdHg",
  "functional": "PBE",
  "state": "optimized geometry",
  "lattice": [[-2.371, 3.992, 7.690], [2.371, -3.992, 7.690], [2.371, 3.992, -7.690]],
  "species": ["Cs", "Cs", "Cd", "Hg"],
  "frac_coords": [[0.243, 0.243, 0.000], [0.757, 0.757, 0.000], [0.500, 0.500, 0.000], [0.000, 0.000, 0.000]],
  "de_polymorph_ev_per_atom": 0.3699,
  "ef_mev_per_atom": 217
}

---

[4]
{
  "formula": "LiCrPb2",
  "functional": "PBE",
  "state": "optimized geometry",
  "lattice": [[3.560, 0.000, 0.000], [0.000, 3.560, 0.000], [0.000, 0.000, 7.327]],
  "species": ["Li", "Cr", "Pb", "Pb"],
  "frac_coords": [[0.000, 0.000, 0.000], [0.500, 0.500, 0.805], [0.000, 0.000, 0.571], [0.500, 0.500, 0.223]],
  "ef_mev_per_atom": 305
}

---

[5]
{
  "formula": "HoTeBr",
  "functional": "PBE",
  "state": "optimized geometry",
  "lattice": [[4.265, 0.000, 0.000], [-2.133, 3.694, 0.000], [0.000, 0.000, 7.227]],
  "species": ["Ho", "Te", "Br"],
  "frac_coords": [[0.000, 0.000, 0.000], [0.667, 0.333, 0.230], [0.333, 0.667, 0.765]],
  "formation_energy_uncorrected_ev_per_atom": -1.538
}

---

[6]
{
  "formula": "TlCu6Pd8",
  "functional": "PBE",
  "state": "optimized geometry",
  "lattice": [[7.818, 0.000, 0.000], [-3.909, 6.771, 0.000], [0.000, 0.000, 4.472]],
  "species": ["Tl", "Cu", "Cu", "Cu", "Cu", "Cu", "Cu", "Pd", "Pd", "Pd", "Pd", "Pd", "Pd", "Pd", "Pd"],
  "frac_coords": [[0.000, 0.000, 0.000], [0.138, 0.484, 0.887], [0.346, 0.862, 0.887], [0.484, 0.346, 0.113], [0.516, 0.654, 0.887], [0.654, 0.138, 0.113], [0.862, 0.516, 0.113], [0.008, 0.694, 0.622], [0.306, 0.314, 0.622], [0.314, 0.008, 0.378], [0.333, 0.667, 0.379], [0.667, 0.333, 0.621], [0.686, 0.992, 0.622], [0.694, 0.686, 0.378], [0.992, 0.306, 0.378]],
  "ef_mev_per_atom": 56
}

---

| no. | D(E_F) (states/eV per cell) |
| --- | --- |
| 1 | 10.30 |
| 2 | 2.71 |
| 3 | 4.16 |
| 4 | 2.10 |
| 5 | 0.00 |
| 6 | 11.66 |